Compound: HfCdTeO2
Source: Alexandria
Functional: GGA-PBE
Structure: optimized geometry

```
HfCdTeO2
1.0
-3.671 1.659 -0.021
-2.780 -6.211 -4.500
-0.932 -2.018 3.360
Te O Cd Hf
1 2 1 1
Direct
0.500 0.500 0.500
0.000 0.000 0.500
0.500 0.000 0.000
0.000 0.500 0.000
0.000 0.000 0.000
```

Calculated values
Space group = P4/mmm (123)
Offset from the most stable computed form = 0 meV/atom
Raw total energy = -6.211 eV per atom